Density functional theory data (PBE) for a relaxed structure of NaPa4GeN8.

Cell and atoms, written as POSCAR:
```
NaPa4GeN8
1.0
-0.2564 -0.1885 7.0714
5.9854 -0.4929 3.7468
2.2194 4.5962 3.7459
Na Pa Ge N
1 4 1 8
Direct
0.0043 0.0043 0.9872 Na
0.5813 0.5813 0.2562 Pa
0.9943 0.4998 0.5115 Pa
0.4998 0.9943 0.5115 Pa
0.9943 0.9943 0.5115 Pa
0.3803 0.3803 0.8592 Ge
0.2932 0.7287 0.6849 N
0.7287 0.2932 0.6849 N
0.2932 0.2932 0.6849 N
0.2511 0.2511 0.2466 N
0.7572 0.2131 0.2724 N
0.2131 0.7572 0.2724 N
0.7572 0.7572 0.2724 N
0.7518 0.7518 0.7445 N
```

Final energy in eV per atom: -8.995
Total magnetic moment in μB/atom: 0.07
Fermi-level density of states in states/eV/atom: 0.143
Formation energy from raw total energies in eV/atom: -1.101